Below is a relaxed AcNd2Ho5Tm crystal, with properties calculated at the GGA-PBE level.

Structure (CIF):
```
data_AcNd2Ho5Tm
_chemical_formula_sum 'Ac4 Nd8 Ho20 Tm4'
_space_group_name_H-M_alt 'I 4/m c m'
_space_group_IT_number 140
_space_group_name_Hall '-I 4 2c'
_cell_length_a 8.835
_cell_length_b 8.835
_cell_length_c 15.537
_cell_angle_alpha 90.00
_cell_angle_beta 90.00
_cell_angle_gamma 90.00
loop_
_atom_site_label
_atom_site_fract_x
_atom_site_fract_y
_atom_site_fract_z
Ac1 0.000 0.000 0.250
Nd1 0.117 0.383 0.000
Ho1 0.000 0.000 0.000
Ho2 0.207 0.293 0.367
Tm1 0.000 0.500 0.250
```

Values from the calculation:
Energy of formation from the pure elements, eV/atom: 0.26
VASP energy, eV per atom: -4.291